Record 1
4
Lattice="3.1537 -4.4891 0.0000 3.1537 4.4891 0.0000 0.0000 0.0000 2.9661" Properties=species:S:1:pos:R:3 comment="Al3Te, optimized geometry, DFT PBE" vol_a3_per_cell=83.98 raw_formation_energy_mev_per_atom=268 spacegroup="Cmmm, No. 65" energy_ev_per_atom=-3.324 de_polymorph_mev_per_atom=222 pbc="T T T"
Al 0.0000 0.0000 0.0000
Al 1.5769 2.2445 1.4831
Al 1.5769 -2.2445 1.4831
Te 3.1537 0.0000 0.0000

***

Record 2
4
Lattice="4.1545 0.0000 0.0000 0.0000 3.9125 0.0000 -1.5067 0.0000 5.6722" Properties=species:S:1:pos:R:3 comment="YAs2Se, optimized geometry, DFT PBE" vol_a3_per_cell=92.20 raw_formation_energy_mev_per_atom=-628 spacegroup="P2/m, No. 10" energy_ev_per_atom=-5.440 pbc="T T T"
Y 0.0000 0.0000 0.0000
As 0.6107 1.9563 4.4349
As 2.0371 1.9563 1.2374
Se -0.7534 0.0000 2.8361

***

Record 3
12
Lattice="3.0288 -6.0351 0.0000 3.0288 6.0351 0.0000 0.0000 0.0000 5.6777" Properties=species:S:1:pos:R:3 comment="TbAl3CuNi, optimized geometry, DFT PBE" vol_a3_per_cell=207.56 spacegroup="Cmcm, No. 63" e_form_ev_per_atom=-0.326 energy_ev_per_atom=-4.615 pbc="T T T"
Tb 3.0288 3.3659 4.2583
Tb 3.0288 -3.3659 1.4194
Al 1.2895 0.0000 0.0000
Al 1.2895 0.0000 2.8389
Al 3.0288 1.6979 1.4194
Al 3.0288 -1.6979 4.2583
Al 4.7680 0.0000 0.0000
Al 4.7680 0.0000 2.8389
Cu 3.0288 4.2532 1.4194
Cu 3.0288 -4.2532 4.2583
Ni 3.0288 0.8104 4.2583
Ni 3.0288 -0.8104 1.4194

***

Record 4
6
Lattice="-2.2471 2.7107 4.9158 2.2471 -2.7107 4.9158 2.2471 2.7107 -4.9158" Properties=species:S:1:pos:R:3 comment="Dy2AlIr3, optimized geometry, DFT PBE" vol_a3_per_cell=119.77 spacegroup="Immm, No. 71" e_form_ev_per_atom=-0.382 energy_ev_per_atom=-6.970 de_polymorph_mev_per_atom=544 pbc="T T T"
Dy 0.0000 0.0000 1.8057
Dy 0.0000 0.0000 8.0258
Al 0.0000 0.0000 4.9158
Ir 2.2471 0.0000 0.0000
Ir 2.2471 0.0000 3.6140
Ir 0.0000 2.7107 1.3017

***

Record 5
4
Lattice="0.0000 3.8282 3.8282 3.8282 0.0000 3.8282 3.8282 3.8282 0.0000" Properties=species:S:1:pos:R:3 comment="NaY2Cl, optimized geometry, DFT PBE" vol_a3_per_cell=112.21 raw_formation_energy_mev_per_atom=-15 spacegroup="Fm-3m, No. 225" energy_ev_per_atom=-4.039 de_polymorph_mev_per_atom=267 pbc="T T T"
Na 0.0000 0.0000 0.0000
Y 1.9141 1.9141 1.9141
Y 5.7423 5.7423 5.7423
Cl 3.8282 3.8282 3.8282

***

Record 6
9
Lattice="-5.4984 5.4984 2.5894 5.4984 -5.4984 2.5894 5.4984 5.4984 -2.5894" Properties=species:S:1:pos:R:3 comment="Pm4Pr4Ho, optimized geometry, DFT PBE" vol_a3_per_cell=313.14 spacegroup="I4/mmm, No. 139" e_form_ev_per_atom=0.014 energy_ev_per_atom=-4.731 de_polymorph_mev_per_atom=0 pbc="T T T"
Pm 3.6666 0.0000 0.0000
Pm 7.3302 0.0000 0.0000
Pm 0.0000 3.6666 0.0000
Pm 0.0000 7.3302 0.0000
Pr 3.6738 3.6738 0.0000
Pr 1.8246 -1.8246 2.5894
Pr -1.8246 1.8246 2.5894
Pr 1.8246 1.8246 2.5894
Ho 0.0000 0.0000 0.0000

***

Record 7
4
Lattice="2.6446 -4.2062 0.0000 2.6446 4.2062 0.0000 -0.7948 0.0000 2.5401" Properties=species:S:1:pos:R:3 comment="TaFe2Re, optimized geometry, DFT PBE" vol_a3_per_cell=56.51 spacegroup="C2/m, No. 12" e_form_ev_per_atom=0.029 energy_ev_per_atom=-10.278 pbc="T T T"
Ta 0.0000 0.0000 0.0000
Fe 0.9249 2.1031 1.2701
Fe 0.9249 -2.1031 1.2701
Re 2.6446 0.0000 0.0000

***

Record 8
12
Lattice="3.6581 -6.3383 0.0000 3.6581 6.3383 0.0000 -2.4379 0.0000 6.9528" Properties=species:S:1:pos:R:3 comment="La3SmPu2Se6, optimized geometry, DFT PBE" vol_a3_per_cell=322.42 raw_formation_energy_mev_per_atom=-1820 spacegroup="C2/m, No. 12" energy_ev_per_atom=-7.576 pbc="T T T"
La 0.0000 0.0000 0.0000
La 3.6581 2.1055 0.0000
La 3.6581 -2.1055 0.0000
Sm 2.4392 0.0000 3.4764
Pu 2.4392 4.2243 3.4764
Pu 2.4392 -4.2243 3.4764
Se 1.2116 2.1250 1.8184
Se -0.0147 0.0000 5.1352
Se 1.2116 -2.1250 1.8184
Se 3.6667 2.1250 5.1344
Se 4.8930 0.0000 1.8176
Se 3.6667 -2.1250 5.1344

***

What did the first record say?
4
Lattice="3.1537 -4.4891 0.0000 3.1537 4.4891 0.0000 0.0000 0.0000 2.9661" Properties=species:S:1:pos:R:3 comment="Al3Te, optimized geometry, DFT PBE" vol_a3_per_cell=83.98 raw_formation_energy_mev_per_atom=268 spacegroup="Cmmm, No. 65" energy_ev_per_atom=-3.324 de_polymorph_mev_per_atom=222 pbc="T T T"
Al 0.0000 0.0000 0.0000
Al 1.5769 2.2445 1.4831
Al 1.5769 -2.2445 1.4831
Te 3.1537 0.0000 0.0000